(1)
Na3Tl3Cd5 after structural relaxation, computed with PBE.

Computed properties:
As for the crystal system: hexagonal. The density of states at the Fermi level is 0.39 states/eV per atom. The total magnetic moment is 0.0 μB/cell. The value obtained for the energy of formation is 0.104 eV per atom. Its calculated volume is 372 Å³ per cell.

The structure in extended XYZ format:
```
11
Lattice="5.0848 0.0000 0.0000 0.0000 7.9634 -4.5977 0.0000 0.0000 9.1953" Properties=species:S:1:pos:R:3 pbc="T T T"
Cd 2.5424 3.0149 -1.7406
Na 0.0000 3.3900 1.9572
Tl 2.5424 6.2879 -3.6303
Cd 2.5424 4.9485 2.8570
Tl 2.5424 1.6755 0.9674
Tl 2.5424 7.9634 2.6629
Cd 2.5424 2.6545 4.5976
Cd 2.5424 0.0000 3.4813
Na 0.0000 0.0000 5.2809
Cd 2.5424 5.3090 0.0000
Na 0.0000 4.5734 -2.6405
```


(2)
CaNdPSe after structural relaxation, computed with PBE.

Computed properties:
As for the crystal system: trigonal. The calculation puts the uncorrected formation energy at -659 kJ/mol of formula units. The total magnetic moment is 0.0 μB/cell. Its calculated volume is 106 Å³ per cell.

The structure in extended XYZ format:
```
4
Lattice="4.2066 0.0000 0.0000 2.1033 3.6430 0.0000 2.1033 1.2143 6.8942" Properties=species:S:1:pos:R:3 pbc="T T T"
Nd 6.3099 3.6430 0.1473
Se 6.3099 3.6430 5.1556
Ca 4.2066 2.4287 3.3597
P 2.1033 1.2143 1.6787
```


(3)
InPd2 after structural relaxation, computed with PBE.

Computed properties:
As for the crystal system: orthorhombic. The density of states at the Fermi level is 0.42 states/eV per atom. The total magnetic moment is 0.0 μB/cell. The value obtained for the energy of formation is -0.509 eV per atom. Its calculated volume is 204 Å³ per cell.

The structure in extended XYZ format:
```
12
Lattice="-1.0047 -0.4448 4.0657 -3.6293 -4.2559 -1.3625 6.2199 -5.6001 0.9243" Properties=species:S:1:pos:R:3 pbc="T T T"
Pd -0.4685 -5.5032 2.5541
Pd -0.3545 -3.2143 0.6514
Pd -1.9362 -5.5520 0.0047
In 0.4843 -6.9886 0.4457
Pd 3.5220 -4.7489 3.6228
Pd 2.4397 -8.9065 0.7191
In -2.5757 -3.7633 2.2238
Pd -0.8539 -1.3944 2.9084
In 4.1615 -6.5376 1.4038
In 1.1015 -3.3123 3.1818
Pd 1.9403 -7.0866 2.9762
Pd 2.0543 -4.7977 1.0734
```


(4)
Sc2FeP after structural relaxation, computed with PBE.

Computed properties:
As for the crystal system: tetragonal. The density of states at the Fermi level is 1.38 states/eV per atom. The total magnetic moment is 3.1 μB/cell. The value obtained for the energy of formation is -0.126 eV per atom. Its calculated volume is 145 Å³ per cell.

The structure in extended XYZ format:
```
8
Lattice="7.0552 0.0000 0.0000 0.0000 7.0552 0.0000 3.5276 3.5276 2.9047" Properties=species:S:1:pos:R:3 pbc="T T T"
Fe 7.0552 3.5276 1.4524
Sc 8.8190 8.7864 2.1785
Sc 5.2914 5.3240 2.1785
P 3.5276 7.0552 1.4524
Sc 1.7964 5.2914 0.7262
Fe 0.0000 0.0000 0.0000
P 3.5276 3.5276 0.0000
Sc 5.2588 1.7638 0.7262
```


> Which of these has the highest total magnetic moment?

Sc2FeP